Computed, not measured: a relaxed RbVNiO4 crystal at the PBE+U level of DFT.

abc: 5.0333 5.8341 8.4238
angles: 90.00 109.32 90.00
Closest atoms and distances in Å follow each position.
Fractional coordinates of all 14 atoms:
V  0.1752  0.7500  0.2897  4 O 1.69-1.80
V  0.8248  0.2500  0.7103  4 O 1.69-1.80
O  0.0223  0.4873  0.6716  1 V 1.80, 1 Ni 2.01
O  0.0223  0.0127  0.6716  1 V 1.80, 1 Ni 2.01
O  0.7898  0.2500  0.9033  1 V 1.69
O  0.2102  0.7500  0.0967  1 V 1.69
O  0.9777  0.9873  0.3284  1 V 1.80, 1 Ni 2.01
O  0.9777  0.5127  0.3284  1 V 1.80, 1 Ni 2.01
O  0.5049  0.2500  0.5539  1 V 1.71
O  0.4951  0.7500  0.4461  1 V 1.71
Ni  0.9000  0.7500  0.5101  3 O 1.93-2.01
Ni  0.1000  0.2500  0.4899  3 O 1.93-2.01
Rb  0.4387  0.2500  0.1383  7 O 3.06-3.41
Rb  0.5613  0.7500  0.8617  7 O 3.06-3.41

Summary:
- Symmetry: P2_1/m (11)
- N(E_F): 0.000 states/eV/cell
- E: -84.81 eV for the cell shown